# 1
Below is Ba7NaSr4 after structural relaxation, with properties calculated at the PBE level.

The calculation puts the formation energy at 0.02 eV/atom. The calculation puts the size of the total moment at 0.0 μB per cell. As for the crystal system: trigonal. Its space group is No. 164. As for the energy: -1.77 eV per atom.

Cell: 4.3810 4.3810 42.7370 Å, 90.00 90.00 120.00°
Sites, in units of the cell vectors:
Ba 0.0000 0.0000 0.0000
Ba 0.0000 0.0000 0.2556
Ba 0.0000 0.0000 0.7444
Ba 0.3333 0.6667 0.1682
Ba 0.3333 0.6667 0.4234
Ba 0.6667 0.3333 0.5766
Ba 0.6667 0.3333 0.8318
Na 0.0000 0.0000 0.5000
Sr 0.3333 0.6667 0.6604
Sr 0.3333 0.6667 0.9156
Sr 0.6667 0.3333 0.0844
Sr 0.6667 0.3333 0.3396

---

# 2
Below is TiGaRe after structural relaxation, with properties calculated at the PBE level.

The calculation puts the formation energy at 0.27 eV/atom. The calculation puts the size of the total moment at 0.5 μB per cell. As for the crystal system: hexagonal. Its space group is No. 180. As for the energy: -7.52 eV per atom.

Cell: 5.0412 5.0412 13.2619 Å, 90.00 90.00 120.00°
Sites, in units of the cell vectors:
Ti 0.0000 0.5000 0.0048
Ti 0.0000 0.5000 0.3285
Ti 0.5000 0.0000 0.3382
Ti 0.5000 0.0000 0.6618
Ti 0.5000 0.5000 0.6715
Ti 0.5000 0.5000 0.9952
Ga 0.3237 0.6474 0.5000
Ga 0.3237 0.6763 0.8333
Ga 0.3526 0.6763 0.1667
Ga 0.6474 0.3237 0.1667
Ga 0.6763 0.3237 0.8333
Ga 0.6763 0.3526 0.5000
Re 0.0000 0.0000 0.1667
Re 0.0000 0.0000 0.5000
Re 0.0000 0.0000 0.8333
Re 0.0000 0.5000 0.6667
Re 0.5000 0.0000 0.0000
Re 0.5000 0.5000 0.3333

---

# 3
Below is Sc2AgBiH after structural relaxation, with properties calculated at the PBE level.

The calculation puts the size of the total moment at 1.4 μB per cell. As for the crystal system: tetragonal. Its space group is No. 123. As for the energy: -4.89 eV per atom.

Cell: 4.5662 4.5662 4.3212 Å, 90.00 90.00 90.00°
Sites, in units of the cell vectors:
Sc 0.0000 0.5000 0.0000
Sc 0.5000 0.0000 0.0000
Ag 0.0000 0.0000 0.5000
Bi 0.5000 0.5000 0.5000
H 0.0000 0.0000 0.0000

---

# 4
Below is AcNpHgO6 after structural relaxation, with properties calculated at the PBE level.

The formation energy without anion corrections is -2.2726 eV/atom. The calculation puts the size of the total moment at 0.0 μB per cell. As for the crystal system: trigonal. Its space group is No. 163. As for the energy: -7.51 eV per atom.

Cell: 5.7567 5.7567 10.7451 Å, 90.00 90.00 120.00°
Sites, in units of the cell vectors:
Ac 0.0000 0.0000 0.0000
Ac 0.0000 0.0000 0.5000
Np 0.3333 0.6667 0.2500
Np 0.6667 0.3333 0.7500
Hg 0.3333 0.6667 0.7500
Hg 0.6667 0.3333 0.2500
O 0.0494 0.3751 0.1394
O 0.0494 0.6744 0.3606
O 0.3256 0.3751 0.3606
O 0.3256 0.9506 0.1394
O 0.3751 0.0494 0.6394
O 0.3751 0.3256 0.8606
O 0.6249 0.6744 0.1394
O 0.6249 0.9506 0.3606
O 0.6744 0.0494 0.8606
O 0.6744 0.6249 0.6394
O 0.9506 0.3256 0.6394
O 0.9506 0.6249 0.8606

---

# 5
Below is UAl2Ru after structural relaxation, with properties calculated at the PBE level.

The calculation puts the formation energy at -0.39 eV/atom. The calculation puts the size of the total moment at 2.4 μB per cell. As for the crystal system: tetragonal. Its space group is No. 123. As for the energy: -7.40 eV per atom.

Cell: 3.0025 3.0025 7.4987 Å, 90.00 90.00 90.00°
Sites, in units of the cell vectors:
U 0.0000 0.0000 0.0000
Al 0.5000 0.5000 0.3110
Al 0.5000 0.5000 0.6890
Ru 0.0000 0.0000 0.5000

---

# 6
Below is Tb11Ce4Er9 after structural relaxation, with properties calculated at the PBE level.

The calculation puts the formation energy at 0.10 eV/atom. The calculation puts the size of the total moment at 4.0 μB per cell. As for the crystal system: orthorhombic. Its space group is No. 65. As for the energy: -4.72 eV per atom.

Cell: 14.9783 14.9783 3.6325 Å, 90.00 90.00 112.38°
Sites, in units of the cell vectors:
Tb 0.0000 0.0000 0.0000
Tb 0.0484 0.4092 0.0000
Tb 0.1574 0.8426 0.0000
Tb 0.2904 0.2904 0.0000
Tb 0.3642 0.6358 0.0000
Tb 0.4092 0.0484 0.0000
Tb 0.5908 0.9516 0.0000
Tb 0.6358 0.3642 0.0000
Tb 0.7096 0.7096 0.0000
Tb 0.8426 0.1574 0.0000
Tb 0.9516 0.5908 0.0000
Ce 0.2481 0.4476 0.5000
Ce 0.4476 0.2481 0.5000
Ce 0.5524 0.7519 0.5000
Ce 0.7519 0.5524 0.5000
Er 0.0690 0.2136 0.5000
Er 0.1616 0.6353 0.5000
Er 0.2136 0.0690 0.5000
Er 0.3647 0.8384 0.5000
Er 0.5000 0.5000 0.5000
Er 0.6353 0.1616 0.5000
Er 0.7864 0.9310 0.5000
Er 0.8384 0.3647 0.5000
Er 0.9310 0.7864 0.5000